No. 1
# La2YRu2 (PBE-GGA, relaxed)
data_La2YRu2
_space_group_name_H-M_alt 'P 4/m b m'
_space_group_IT_number 127
_space_group_name_Hall '-P 4 2ab'
_cell_length_a 8.456
_cell_length_b 8.456
_cell_length_c 3.305
_cell_angle_alpha 90.00
_cell_angle_beta 90.00
_cell_angle_gamma 90.00
loop_
_atom_site_label
_atom_site_fract_x
_atom_site_fract_y
_atom_site_fract_z
_atom_site_occupancy
La1 0.133 0.367 0.000 1
Y1 0.000 0.000 0.000 1
Ru1 0.181 0.681 0.500 1
# V: 118 Å³/f.u.
# DFT formation energy: 0.023 eV/atom
# Distance to the lowest polymorph of the same formula: 184 meV per atom

No. 2
# MnCoNi2H (PBE-GGA, relaxed)
data_MnCoNi2H
_space_group_name_H-M_alt 'P 4/m m m'
_space_group_IT_number 123
_space_group_name_Hall '-P 4 2'
_cell_length_a 3.590
_cell_length_b 3.590
_cell_length_c 3.682
_cell_angle_alpha 90.00
_cell_angle_beta 90.00
_cell_angle_gamma 90.00
loop_
_atom_site_label
_atom_site_fract_x
_atom_site_fract_y
_atom_site_fract_z
_atom_site_occupancy
Mn1 0.000 0.000 0.000 1
Co1 0.500 0.500 0.000 1
Ni1 0.000 0.500 0.500 1
H1 0.500 0.500 0.500 1
# V: 47 Å³/f.u.
# Distance to the lowest polymorph of the same formula: 0 meV per atom